<i>
The following is a PBE calculation of a relaxed Hf2Ti2Re crystal, from Alexandria via LeMat-Bulk.

Output
Magnetization (μB per cell): 0.0
Symmetry: P4/mbm (127)

Cell: 7.142 7.142 3.789 Å, 90.00 90.00 90.00°
Fractional positions:
Re: 0.000 0.000 0.000
Re: 0.500 0.500 0.000
Hf: 0.344 0.844 0.000
Hf: 0.844 0.656 0.000
Hf: 0.656 0.156 0.000
Hf: 0.156 0.344 0.000
Ti: 0.145 0.645 0.500
Ti: 0.645 0.855 0.500
Ti: 0.855 0.355 0.500
Ti: 0.355 0.145 0.500

=====

<ii>
The following is a PBE calculation of a relaxed Hf2Ti2Re crystal, from Alexandria via LeMat-Bulk.

Output
Magnetization (μB per cell): 0.0
Symmetry: C2/c (15)

Cell: 5.705 5.734 7.934 Å, 111.18 124.28 90.00°
Fractional positions:
Hf: 0.167 0.984 0.227
Hf: 0.833 0.016 0.773
Hf: 0.333 0.756 0.773
Hf: 0.667 0.244 0.227
Ti: 0.775 0.790 0.343
Ti: 0.225 0.210 0.657
Ti: 0.725 0.447 0.657
Ti: 0.275 0.553 0.343
Re: 0.250 0.547 0.000
Re: 0.750 0.453 0.000

=====

So which one is most stable? That would be <ii>, about 33.2 kJ/mol of atoms below the next structure.